No. 1
# SnI3Br, relaxed, DFT PBE
# size of the total moment = 0.132 μB per atom
# energy above the lowest structure with this stoichiometry = 828 meV per atom
# energy = -1.67 eV/atom
data_SnI3Br
_symmetry_space_group_name_H-M 'P 1'
_symmetry_Int_Tables_number 1
_cell_length_a 5.9474
_cell_length_b 5.9474
_cell_length_c 5.9474
_cell_angle_alpha 90.00
_cell_angle_beta 90.00
_cell_angle_gamma 90.00
loop_
_symmetry_equiv_pos_as_xyz
'x,y,z'
loop_
_atom_site_label
_atom_site_type_symbol
_atom_site_fract_x
_atom_site_fract_y
_atom_site_fract_z
_atom_site_occupancy
Sn1 Sn 0.0000 0.0000 0.0000 1
I1 I 0.0000 0.5000 0.5000 1
I2 I 0.5000 0.0000 0.5000 1
I3 I 0.5000 0.5000 0.0000 1
Br1 Br 0.5000 0.5000 0.5000 1

=====

No. 2
# CuIrRhW, relaxed, DFT PBE
# ΔE_f = -0.01 eV/atom
# size of the total moment = 0.000 μB per atom
# energy = -8.33 eV/atom
data_CuIrRhW
_symmetry_space_group_name_H-M 'P 1'
_symmetry_Int_Tables_number 1
_cell_length_a 6.1340
_cell_length_b 6.1340
_cell_length_c 6.1340
_cell_angle_alpha 90.00
_cell_angle_beta 90.00
_cell_angle_gamma 90.00
loop_
_symmetry_equiv_pos_as_xyz
'x,y,z'
loop_
_atom_site_label
_atom_site_type_symbol
_atom_site_fract_x
_atom_site_fract_y
_atom_site_fract_z
_atom_site_occupancy
Cu1 Cu 0.0000 0.0000 0.0000 1
Cu2 Cu 0.0000 0.5000 0.5000 1
Cu3 Cu 0.5000 0.0000 0.5000 1
Cu4 Cu 0.5000 0.5000 0.0000 1
Ir1 Ir 0.2500 0.2500 0.2500 1
Ir2 Ir 0.2500 0.7500 0.7500 1
Ir3 Ir 0.7500 0.2500 0.7500 1
Ir4 Ir 0.7500 0.7500 0.2500 1
Rh1 Rh 0.2500 0.2500 0.7500 1
Rh2 Rh 0.2500 0.7500 0.2500 1
Rh3 Rh 0.7500 0.2500 0.2500 1
Rh4 Rh 0.7500 0.7500 0.7500 1
W1 W 0.0000 0.0000 0.5000 1
W2 W 0.0000 0.5000 0.0000 1
W3 W 0.5000 0.0000 0.0000 1
W4 W 0.5000 0.5000 0.5000 1

=====

No. 3
# CdMo2PdAu, relaxed, DFT PBE
# ΔE_f = 2.06 eV/atom
# size of the total moment = 1.460 μB per atom
# energy = -4.15 eV/atom
data_CdMo2PdAu
_symmetry_space_group_name_H-M 'P 1'
_symmetry_Int_Tables_number 1
_cell_length_a 5.1532
_cell_length_b 5.1532
_cell_length_c 4.8533
_cell_angle_alpha 90.00
_cell_angle_beta 90.00
_cell_angle_gamma 90.00
loop_
_symmetry_equiv_pos_as_xyz
'x,y,z'
loop_
_atom_site_label
_atom_site_type_symbol
_atom_site_fract_x
_atom_site_fract_y
_atom_site_fract_z
_atom_site_occupancy
Cd1 Cd 0.0000 0.0000 0.0000 1
Mo1 Mo 0.0000 0.5000 0.0000 1
Mo2 Mo 0.5000 0.0000 0.0000 1
Pd1 Pd 0.0000 0.0000 0.5000 1
Au1 Au 0.5000 0.5000 0.5000 1

=====

No. 4
# KCe2BrO4, relaxed, DFT PBE
# size of the total moment = 0.000 μB per atom
# energy = -6.95 eV/atom
data_KCe2BrO4
_symmetry_space_group_name_H-M 'P 1'
_symmetry_Int_Tables_number 1
_cell_length_a 4.0325
_cell_length_b 4.0325
_cell_length_c 9.9740
_cell_angle_alpha 90.00
_cell_angle_beta 90.00
_cell_angle_gamma 90.00
loop_
_symmetry_equiv_pos_as_xyz
'x,y,z'
loop_
_atom_site_label
_atom_site_type_symbol
_atom_site_fract_x
_atom_site_fract_y
_atom_site_fract_z
_atom_site_occupancy
K1 K 0.0000 0.0000 0.0000 1
Ce1 Ce 0.5000 0.5000 0.2684 1
Ce2 Ce 0.5000 0.5000 0.7316 1
Br1 Br 0.0000 0.0000 0.5000 1
O1 O 0.0000 0.5000 0.1952 1
O2 O 0.0000 0.5000 0.8048 1
O3 O 0.5000 0.0000 0.1952 1
O4 O 0.5000 0.0000 0.8048 1

=====

No. 5
# K4ZrAl, relaxed, DFT PBE
# ΔE_f = 0.99 eV/atom
# size of the total moment = 0.464 μB per atom
# energy = -1.80 eV/atom
data_K4ZrAl
_symmetry_space_group_name_H-M 'P 1'
_symmetry_Int_Tables_number 1
_cell_length_a 7.0136
_cell_length_b 7.0136
_cell_length_c 7.0136
_cell_angle_alpha 60.00
_cell_angle_beta 60.00
_cell_angle_gamma 60.00
loop_
_symmetry_equiv_pos_as_xyz
'x,y,z'
loop_
_atom_site_label
_atom_site_type_symbol
_atom_site_fract_x
_atom_site_fract_y
_atom_site_fract_z
_atom_site_occupancy
K1 K 0.3759 0.3759 0.3759 1
K2 K 0.3759 0.3759 0.8722 1
K3 K 0.3759 0.8722 0.3759 1
K4 K 0.8722 0.3759 0.3759 1
Zr1 Zr 0.0000 0.0000 0.0000 1
Al1 Al 0.7500 0.7500 0.7500 1

=====

No. 6
# Sr2TeRuO6, relaxed, DFT PBE
# size of the total moment = 0.171 μB per atom
# energy = -6.27 eV/atom
data_Sr2TeRuO6
_symmetry_space_group_name_H-M 'P 1'
_symmetry_Int_Tables_number 1
_cell_length_a 4.0873
_cell_length_b 4.0873
_cell_length_c 8.3105
_cell_angle_alpha 90.00
_cell_angle_beta 90.00
_cell_angle_gamma 90.00
loop_
_symmetry_equiv_pos_as_xyz
'x,y,z'
loop_
_atom_site_label
_atom_site_type_symbol
_atom_site_fract_x
_atom_site_fract_y
_atom_site_fract_z
_atom_site_occupancy
Sr1 Sr 0.0000 0.0000 0.2235 1
Sr2 Sr 0.0000 0.0000 0.7765 1
Te1 Te 0.5000 0.5000 0.5000 1
Ru1 Ru 0.5000 0.5000 0.0000 1
O1 O 0.0000 0.5000 0.0000 1
O2 O 0.0000 0.5000 0.5000 1
O3 O 0.5000 0.0000 0.0000 1
O4 O 0.5000 0.0000 0.5000 1
O5 O 0.5000 0.5000 0.2510 1
O6 O 0.5000 0.5000 0.7490 1

=====

No. 7
# AlFe3H, relaxed, DFT PBE
# size of the total moment = 1.264 μB per atom
# energy above the lowest structure with this stoichiometry = 89 meV per atom
# energy = -6.58 eV/atom
data_AlFe3H
_symmetry_space_group_name_H-M 'P 1'
_symmetry_Int_Tables_number 1
_cell_length_a 6.8911
_cell_length_b 4.6002
_cell_length_c 6.4569
_cell_angle_alpha 90.00
_cell_angle_beta 98.94
_cell_angle_gamma 90.00
loop_
_symmetry_equiv_pos_as_xyz
'x,y,z'
loop_
_atom_site_label
_atom_site_type_symbol
_atom_site_fract_x
_atom_site_fract_y
_atom_site_fract_z
_atom_site_occupancy
Al1 Al 0.1885 0.1054 0.0628 1
Al2 Al 0.1885 0.3946 0.5628 1
Al3 Al 0.8115 0.6054 0.4372 1
Al4 Al 0.8115 0.8946 0.9372 1
Fe1 Fe 0.0648 0.5977 0.1862 1
Fe2 Fe 0.0648 0.9023 0.6862 1
Fe3 Fe 0.3073 0.5935 0.9380 1
Fe4 Fe 0.3073 0.9065 0.4380 1
Fe5 Fe 0.4429 0.1114 0.8185 1
Fe6 Fe 0.4429 0.3886 0.3185 1
Fe7 Fe 0.5571 0.6114 0.6815 1
Fe8 Fe 0.5571 0.8886 0.1815 1
Fe9 Fe 0.6927 0.0935 0.5621 1
Fe10 Fe 0.6927 0.4065 0.0620 1
Fe11 Fe 0.9352 0.0977 0.3138 1
Fe12 Fe 0.9352 0.4023 0.8138 1
H1 H 0.3274 0.6985 0.2089 1
H2 H 0.3274 0.8015 0.7089 1
H3 H 0.6726 0.1985 0.2911 1
H4 H 0.6726 0.3015 0.7911 1

=====

No. 8
# Rb2ScNi, relaxed, DFT PBE
# ΔE_f = 1.23 eV/atom
# size of the total moment = 0.000 μB per atom
# energy above the lowest structure with this stoichiometry = 613 meV per atom
# energy = -2.28 eV/atom
data_Rb2ScNi
_symmetry_space_group_name_H-M 'P 1'
_symmetry_Int_Tables_number 1
_cell_length_a 8.4054
_cell_length_b 8.4054
_cell_length_c 8.4054
_cell_angle_alpha 90.00
_cell_angle_beta 90.00
_cell_angle_gamma 90.00
loop_
_symmetry_equiv_pos_as_xyz
'x,y,z'
loop_
_atom_site_label
_atom_site_type_symbol
_atom_site_fract_x
_atom_site_fract_y
_atom_site_fract_z
_atom_site_occupancy
Rb1 Rb 0.2500 0.2500 0.2500 1
Rb2 Rb 0.2500 0.2500 0.7500 1
Rb3 Rb 0.2500 0.7500 0.2500 1
Rb4 Rb 0.2500 0.7500 0.7500 1
Rb5 Rb 0.7500 0.2500 0.2500 1
Rb6 Rb 0.7500 0.2500 0.7500 1
Rb7 Rb 0.7500 0.7500 0.2500 1
Rb8 Rb 0.7500 0.7500 0.7500 1
Sc1 Sc 0.0000 0.0000 0.0000 1
Sc2 Sc 0.0000 0.5000 0.5000 1
Sc3 Sc 0.5000 0.0000 0.5000 1
Sc4 Sc 0.5000 0.5000 0.0000 1
Ni1 Ni 0.0000 0.0000 0.5000 1
Ni2 Ni 0.0000 0.5000 0.0000 1
Ni3 Ni 0.5000 0.0000 0.0000 1
Ni4 Ni 0.5000 0.5000 0.5000 1

=====

No. 9
# ScCo2Sn2, relaxed, DFT PBE
# ΔE_f = -0.31 eV/atom
# size of the total moment = 0.078 μB per atom
# energy above the lowest structure with this stoichiometry = 0 meV per atom
# energy = -6.02 eV/atom
data_ScCo2Sn2
_symmetry_space_group_name_H-M 'P 1'
_symmetry_Int_Tables_number 1
_cell_length_a 4.2738
_cell_length_b 4.4013
_cell_length_c 9.3997
_cell_angle_alpha 90.00
_cell_angle_beta 90.00
_cell_angle_gamma 90.00
loop_
_symmetry_equiv_pos_as_xyz
'x,y,z'
loop_
_atom_site_label
_atom_site_type_symbol
_atom_site_fract_x
_atom_site_fract_y
_atom_site_fract_z
_atom_site_occupancy
Sc1 Sc 0.2500 0.2500 0.1712 1
Sc2 Sc 0.7500 0.7500 0.8288 1
Co1 Co 0.2500 0.7500 0.0035 1
Co2 Co 0.2500 0.7500 0.3327 1
Co3 Co 0.7500 0.2500 0.6673 1
Co4 Co 0.7500 0.2500 0.9965 1
Sn1 Sn 0.2500 0.2500 0.4937 1
Sn2 Sn 0.2500 0.2500 0.8335 1
Sn3 Sn 0.7500 0.7500 0.1665 1
Sn4 Sn 0.7500 0.7500 0.5063 1

=====

No. 10
# PrHo4Tm5, relaxed, DFT PBE
# ΔE_f = 0.06 eV/atom
# size of the total moment = 0.000 μB per atom
# energy above the lowest structure with this stoichiometry = 0 meV per atom
# energy = -4.48 eV/atom
data_PrHo4Tm5
_symmetry_space_group_name_H-M 'P 1'
_symmetry_Int_Tables_number 1
_cell_length_a 3.5276
_cell_length_b 6.6139
_cell_length_c 14.0350
_cell_angle_alpha 98.48
_cell_angle_beta 93.36
_cell_angle_gamma 103.83
loop_
_symmetry_equiv_pos_as_xyz
'x,y,z'
loop_
_atom_site_label
_atom_site_type_symbol
_atom_site_fract_x
_atom_site_fract_y
_atom_site_fract_z
_atom_site_occupancy
Pr1 Pr 0.0000 0.0000 0.0000 1
Ho1 Ho 0.1119 0.8088 0.2193 1
Ho2 Ho 0.1964 0.7273 0.8028 1
Ho3 Ho 0.8036 0.2727 0.1972 1
Ho4 Ho 0.8881 0.1912 0.7807 1
Tm1 Tm 0.2056 0.8806 0.5831 1
Tm2 Tm 0.4916 0.4266 0.6123 1
Tm3 Tm 0.5000 0.5000 0.0000 1
Tm4 Tm 0.5084 0.5734 0.3877 1
Tm5 Tm 0.7944 0.1194 0.4169 1

=====

No. 11
# RbBaRhO3, relaxed, DFT PBE
# size of the total moment = 0.337 μB per atom
# energy = -5.68 eV/atom
data_RbBaRhO3
_symmetry_space_group_name_H-M 'P 1'
_symmetry_Int_Tables_number 1
_cell_length_a 7.3704
_cell_length_b 7.3704
_cell_length_c 8.3526
_cell_angle_alpha 106.32
_cell_angle_beta 106.32
_cell_angle_gamma 32.09
loop_
_symmetry_equiv_pos_as_xyz
'x,y,z'
loop_
_atom_site_label
_atom_site_type_symbol
_atom_site_fract_x
_atom_site_fract_y
_atom_site_fract_z
_atom_site_occupancy
Rb1 Rb 0.1413 0.1413 0.0652 1
Rb2 Rb 0.8587 0.8587 0.9348 1
Ba1 Ba 0.1494 0.1494 0.5811 1
Ba2 Ba 0.8506 0.8506 0.4189 1
Rh1 Rh 0.4946 0.4946 0.7291 1
Rh2 Rh 0.5054 0.5054 0.2709 1
O1 O 0.0057 0.0057 0.2811 1
O2 O 0.3501 0.3501 0.6484 1
O3 O 0.3624 0.3624 0.2038 1
O4 O 0.6376 0.6376 0.7962 1
O5 O 0.6499 0.6499 0.3516 1
O6 O 0.9943 0.9943 0.7189 1